#P
{"formula": "MnMo2Br", "functional": "GGA-PBE", "state": "optimized geometry", "cell": [[4.739, -0.023, 0.000], [0.983, 4.635, 0.000], [-2.861, -2.306, 2.992]], "species": ["Mn", "Mo", "Br", "Mo"], "frac_coords": [[0.750, 0.250, 0.500], [0.250, 0.750, 0.500], [0.500, 0.500, 0.000], [0.000, 0.000, 0.000]], "crystal_system": "tetragonal"}

***

#Q
{"formula": "MnMo2Br", "functional": "GGA-PBE", "state": "optimized geometry", "cell": [[-4.485, 0.404, -1.502], [0.543, -2.837, -2.382], [-1.100, -2.423, 2.635]], "species": ["Mn", "Mo", "Br", "Mo"], "frac_coords": [[0.500, 0.000, 0.500], [0.000, 0.000, 0.000], [0.500, 0.500, 0.000], [0.000, 0.500, 0.500]], "crystal_system": "tetragonal"}

***

Calculated relative energies: #P 4.8; #Q 0.0, given in kJ/mol of atoms

***

#P
{"formula": "MnMo2Br", "functional": "GGA-PBE", "state": "optimized geometry", "cell": [[3.407, 0.000, 0.000], [0.000, 3.407, 0.000], [0.000, 0.000, 6.424]], "species": ["Mo", "Br", "Mn", "Mo"], "frac_coords": [[0.000, 0.000, 0.961], [0.000, 0.000, 0.543], [0.500, 0.500, 0.833], [0.500, 0.500, 0.164]], "crystal_system": "tetragonal"}

***

#Q
{"formula": "MnMo2Br", "functional": "GGA-PBE", "state": "optimized geometry", "cell": [[-1.533, -0.513, 2.534], [-1.105, -1.400, -2.419], [5.002, -6.794, 1.649]], "species": ["Br", "Mn", "Mo", "Mo"], "frac_coords": [[0.000, 0.000, 0.517], [0.500, 0.500, 0.759], [0.500, 0.500, 0.223], [0.000, 0.000, 0.001]], "crystal_system": "orthorhombic"}

***

Calculated relative energies: #P 9.9; #Q 0.0, given in kJ/mol of atoms

***

#P
{"formula": "MnMo2Br", "functional": "GGA-PBE", "state": "optimized geometry", "cell": [[-0.823, -4.818, 1.992], [3.483, -3.796, -1.149], [-0.870, 4.708, 2.222]], "species": ["Br", "Mo", "Mn", "Mo"], "frac_coords": [[0.492, 0.492, 0.000], [0.734, 0.234, 0.500], [0.258, 0.758, 0.500], [0.015, 0.015, 0.000]], "crystal_system": "orthorhombic"}

***

#Q
{"formula": "MnMo2Br", "functional": "GGA-PBE", "state": "optimized geometry", "cell": [[5.579, 0.000, 0.000], [0.000, 5.579, 0.000], [2.790, 2.790, 5.413]], "species": ["Br", "Mn", "Mo", "Mo", "Mo", "Mn", "Br", "Mo"], "frac_coords": [[0.750, 0.250, 0.500], [0.250, 0.750, 0.500], [0.582, 0.125, 0.250], [0.168, 0.625, 0.250], [0.875, 0.832, 0.750], [0.500, 0.500, 0.000], [0.000, 0.000, 0.000], [0.375, 0.418, 0.750]], "crystal_system": "tetragonal"}

***

Calculated relative energies: #P 0.0; #Q 45.1, given in kJ/mol of atoms